# Mg6CdNiO8

Mg6CdNiO8 after structural relaxation (PBE with a Hubbard U, the Alexandria database).

## Properties
Symmetry: P4/mmm
Final energy (eV per atom): -5.5221
Energy above the most stable polymorph in this dataset (meV per atom): 4.2

Cell lengths 4.356, 4.356, 8.654 Å; angles 90.00, 90.00, 90.00 degrees
Atoms (fractional coordinates):
Mg1 0.000 0.500 0.746
Mg2 0.500 0.500 0.500
Mg3 0.000 0.000 0.500
Mg4 0.500 0.000 0.746
Mg5 0.000 0.500 0.254
Mg6 0.500 0.000 0.254
Ni1 0.000 0.000 0.000
Cd1 0.500 0.500 0.000
O1 0.000 0.500 0.500
O2 0.500 0.500 0.267
O3 0.500 0.000 0.000
O4 0.000 0.500 0.000
O5 0.000 0.000 0.751
O6 0.000 0.000 0.249
O7 0.500 0.000 0.500
O8 0.500 0.500 0.733